Material: CrIrRh2
Method: DFT, PBE-GGA
State: optimized geometry

Output
DOS at the Fermi energy (states/eV per cell): 6.03
Energy (Ry/atom): -0.6087
Energy of formation from the pure elements (meV per atom): 15
Calculated volume (Å³/atom): 13.730

Cell and atoms, written as extended XYZ:
```
4
Lattice="-6.287 3.910 -4.835 -7.604 3.771 -2.483 -5.939 5.837 -2.977" Properties=species:S:1:pos:R:3 pbc="T T T"
Cr -4.957 3.380 -2.574
Ir -14.872 10.139 -7.721
Rh -19.738 13.456 -10.247
Rh -10.007 6.822 -5.195
```

Material: Cr2Ir4Rh5
Method: DFT, PBE-GGA
State: optimized geometry

Output
Offset from the most stable computed form (kJ/mol of atoms): 20.9
DOS at the Fermi energy (states/eV per cell): 14.66
Energy (Ry/atom): -0.5975
Energy of formation from the pure elements (meV per atom): 184
Calculated volume (Å³/atom): 14.867

Cell and atoms, written as extended XYZ:
```
11
Lattice="-0.495 -2.571 0.718 5.777 -1.345 -0.834 1.518 3.749 9.333" Properties=species:S:1:pos:R:3 pbc="T T T"
Cr 4.227 -0.842 5.025
Cr 2.574 0.676 4.192
Ir 3.317 -1.303 2.750
Ir 3.912 -0.687 0.237
Ir 3.484 1.137 6.467
Ir 2.889 0.521 8.980
Rh 5.796 -0.268 3.031
Rh 1.005 0.102 6.186
Rh 1.371 0.237 1.791
Rh -0.247 -1.285 0.359
Rh 5.430 -0.403 7.426
```

Material: Cr2Ir2Rh7
Method: DFT, PBE-GGA
State: optimized geometry

Output
DOS at the Fermi energy (states/eV per cell): 12.98
Energy (Ry/atom): -0.5740
Energy of formation from the pure elements (meV per atom): 229
Calculated volume (Å³/atom): 14.862

Cell and atoms, written as extended XYZ:
```
11
Lattice="-3.217 -0.853 -3.291 -10.150 -5.718 0.519 -6.932 0.523 1.198" Properties=species:S:1:pos:R:3 pbc="T T T"
Cr -7.437 -3.538 -1.968
Cr -5.930 -3.034 -0.803
Ir -7.896 -1.077 -0.773
Ir -12.403 -4.971 -0.800
Rh -5.569 -0.878 -2.047
Rh -9.082 -3.355 -0.075
Rh -14.730 -5.170 0.475
Rh -11.217 -2.693 -1.498
Rh -9.944 -4.886 -2.069
Rh 0.000 0.000 0.000
Rh -3.423 -1.685 -0.702
```

Material: Cr2Ir3Rh3
Method: DFT, PBE-GGA
State: optimized geometry

Output
DOS at the Fermi energy (states/eV per cell): 9.51
Energy (Ry/atom): -0.6364
Energy of formation from the pure elements (meV per atom): -174
Calculated volume (Å³/atom): 13.848

Cell and atoms, written as extended XYZ:
```
8
Lattice="-3.085 -0.915 -2.064 1.519 -3.410 -0.758 -3.314 -2.859 6.222" Properties=species:S:1:pos:R:3 pbc="T T T"
Cr -2.484 -2.143 4.664
Cr -0.830 -0.716 1.558
Ir -3.200 -1.887 2.079
Ir 0.759 -1.705 -0.379
Ir -0.898 -3.135 2.732
Rh -3.270 -4.307 3.257
Rh -1.612 -2.877 0.144
Rh -1.543 -0.458 -1.032
```

Material: CrIrRh3
Method: DFT, PBE-GGA
State: optimized geometry

Output
Offset from the most stable computed form (kJ/mol of atoms): 89.2
DOS at the Fermi energy (states/eV per cell): 8.35
Energy (Ry/atom): -0.5070
Energy of formation from the pure elements (meV per atom): 1210
Calculated volume (Å³/atom): 16.724

Cell and atoms, written as extended XYZ:
```
5
Lattice="4.373 0.000 0.000 0.000 4.373 0.000 0.000 0.000 4.373" Properties=species:S:1:pos:R:3 pbc="T T T"
Cr 0.000 0.000 0.000
Ir 2.186 2.186 2.186
Rh 0.000 2.186 0.000
Rh 0.000 0.000 2.186
Rh 2.186 0.000 0.000
```

Material: Cr2Ir3Rh4
Method: DFT, PBE-GGA
State: optimized geometry

Output
DOS at the Fermi energy (states/eV per cell): 19.09
Energy (Ry/atom): -0.6071
Energy of formation from the pure elements (meV per atom): 100
Calculated volume (Å³/atom): 14.312

Cell and atoms, written as extended XYZ:
```
18
Lattice="4.342 0.019 0.762 0.672 7.476 3.861 -0.094 0.931 8.389" Properties=species:S:1:pos:R:3 pbc="T T T"
Cr 3.141 6.950 7.970
Cr 4.233 3.902 3.749
Cr 1.779 1.475 5.041
Cr 0.687 4.523 9.262
Ir 0.654 7.160 9.094
Ir 2.244 2.522 2.660
Ir 4.267 1.265 3.917
Ir 2.677 5.903 10.351
Ir 1.231 2.980 7.165
Ir 3.690 5.445 5.847
Rh 2.561 0.847 7.545
Rh 3.892 2.129 9.623
Rh 2.359 7.578 5.466
Rh 1.029 6.296 3.388
Rh 1.173 5.657 6.958
Rh 1.730 4.073 4.763
Rh 3.747 2.768 6.053
Rh 3.190 4.352 8.248
```

Material: CrIrRh2
Method: DFT, PBE-GGA
State: optimized geometry

Output
DOS at the Fermi energy (states/eV per cell): 6.61
Energy (Ry/atom): -0.6114
Energy of formation from the pure elements (meV per atom): -21
Calculated volume (Å³/atom): 13.752

Cell and atoms, written as extended XYZ:
```
4
Lattice="-6.990 5.212 1.392 -7.823 4.000 -0.876 -8.230 2.813 1.519" Properties=species:S:1:pos:R:3 pbc="T T T"
Cr -11.527 6.016 1.018
Ir -17.387 9.073 1.536
Rh -23.040 12.024 2.035
Rh -5.652 2.949 0.499
```

Material: Cr2Ir8Rh
Method: DFT, PBE-GGA
State: optimized geometry

Output
DOS at the Fermi energy (states/eV per cell): 10.82
Energy (Ry/atom): -0.6478
Energy of formation from the pure elements (meV per atom): 49
Calculated volume (Å³/atom): 14.433

Cell and atoms, written as extended XYZ:
```
11
Lattice="-0.685 -2.485 -3.039 -1.892 -4.710 4.278 -4.372 5.567 -0.954" Properties=species:S:1:pos:R:3 pbc="T T T"
Cr -3.220 -1.564 2.004
Cr -3.729 -0.064 -1.720
Ir -3.410 -3.981 1.411
Ir -4.330 0.385 0.661
Ir -1.796 0.625 -0.106
Ir -0.566 -1.409 1.280
Ir -5.153 -2.252 0.391
Ir -2.619 -2.012 -0.376
Ir -3.539 2.353 -1.126
Ir -6.383 -0.218 -0.995
Rh -0.343 -1.242 -1.519
```